Below is crystalline HgMoN2O at its relaxed geometry, with properties calculated at the GGA+U level.

Values from the calculation:
As for the volume: 15.03 Å³ per atom. For the total energy, the calculation gives -3.95 eV per atom.

The structure in POSCAR format:
```
HgMoN2O
1.0
-3.173 -2.790 0.267
2.546 -2.701 2.036
-1.160 1.670 3.666
Mo N O Hg
1 2 1 1
Cartesian
-0.894 -1.911 2.984
1.273 -1.350 1.018
-1.587 -1.395 0.133
-0.580 0.835 1.833
0.000 0.000 0.000
```